# 1
Mg7InHg4 GGA-PBE relaxed; ΔE_f = -0.075 eV/atom; E = -1.3336 eV per atom; space group = C2/m, No. 12; relative energy among the computed polymorphs = 0.066 eV per atom
1.0
-3.8631 -2.8498 -2.1474
3.6266 -5.8600 -5.1868
-1.2848 -5.9768 3.8037
Hg Mg In
4 7 1
Direct
0.2873 0.3394 0.0860 Hg
0.5731 0.2201 0.6338 Hg
0.7127 0.6606 0.9140 Hg
0.4269 0.7799 0.3662 Hg
0.9314 0.3386 0.7986 Mg
0.2155 0.1240 0.4451 Mg
0.0686 0.6614 0.2014 Mg
0.6547 0.4151 0.2756 Mg
0.7845 0.8760 0.5549 Mg
0.3453 0.5849 0.7244 Mg
0.5000 0.0000 0.0000 Mg
0.0000 0.0000 0.0000 In



# 2
Mg7InHg4 GGA-PBE relaxed; ΔE_f = -0.140 eV/atom; E = -1.3994 eV per atom; space group = P-1, No. 2; relative energy among the computed polymorphs = 0.000 eV per atom
1.0
5.4296 -0.0809 2.8265
2.1151 6.1754 2.8507
2.8836 -0.0717 9.4363
Mg Hg In
7 4 1
Direct
0.5000 0.0000 0.0000 Mg
0.2441 0.5059 0.0011 Mg
0.2377 0.8400 0.6402 Mg
0.9828 0.6716 0.3404 Mg
0.7623 0.1600 0.3598 Mg
0.7559 0.4941 0.9989 Mg
0.0172 0.3284 0.6596 Mg
0.4742 0.3551 0.6879 Hg
0.2814 0.2020 0.3156 Hg
0.5258 0.6449 0.3121 Hg
0.7186 0.7980 0.6844 Hg
0.0000 0.0000 0.0000 In



# 3
MgIn14Hg GGA-PBE relaxed; ΔE_f = 0.017 eV/atom; E = -2.4973 eV per atom; space group = Cmmm, No. 65
1.0
-6.3252 -0.6258 -0.5016
-0.1089 -3.2480 5.4854
-1.3030 8.9449 5.2705
In Mg Hg
14 1 1
Direct
0.8750 0.8750 0.0000 In
0.8750 0.3750 0.0000 In
0.1251 0.1251 0.7452 In
0.6249 0.6249 0.2547 In
0.3750 0.8750 0.0000 In
0.6265 0.1235 0.2544 In
0.3750 0.3750 0.0000 In
0.3750 0.8750 0.5000 In
0.8750 0.3750 0.5000 In
0.6265 0.1235 0.7456 In
0.1235 0.6265 0.2544 In
0.1235 0.6265 0.7456 In
0.1251 0.1251 0.2548 In
0.6249 0.6249 0.7453 In
0.8750 0.8750 0.5000 Mg
0.3750 0.3750 0.5000 Hg



# 4
MgIn2Hg5 GGA-PBE relaxed; ΔE_f = -0.028 eV/atom; E = -1.1008 eV per atom; space group = P1, No. 1; relative energy among the computed polymorphs = 0.000 eV per atom
1.0
-4.3246 1.9210 -4.1213
-1.7779 -5.6524 1.6584
0.5049 4.7595 5.1485
Hg In Mg
5 2 1
Direct
0.3528 0.3360 0.5357 Hg
0.1819 0.2059 0.9686 Hg
0.7109 0.7220 0.4532 Hg
0.3653 0.8053 0.0464 Hg
0.6906 0.2540 0.9612 Hg
0.8607 0.3126 0.5538 In
0.2127 0.7592 0.4472 In
0.8480 0.8280 0.0339 Mg



# 5
MgIn2Hg GGA-PBE relaxed; ΔE_f = -0.030 eV/atom; E = -1.8738 eV per atom; space group = Imm2, No. 44
1.0
-0.2128 -1.3508 -5.8520
-1.2765 -5.7548 -1.1701
-2.0292 5.0118 2.6230
In Mg Hg
2 1 1
Direct
0.9926 0.9926 0.0000 In
0.2590 0.7590 0.5000 In
0.5108 0.5108 0.0000 Mg
0.7376 0.2376 0.5000 Hg



# 6
MgIn2Hg GGA-PBE relaxed; ΔE_f = 0.020 eV/atom; E = -1.8230 eV per atom; space group = Fm-3m, No. 225
1.0
0.0000 3.6994 3.6994
3.6994 0.0000 3.6994
3.6994 3.6994 0.0000
Mg In Hg
1 2 1
Direct
0.0000 0.0000 0.0000 Mg
0.2500 0.2500 0.2500 In
0.7500 0.7500 0.7500 In
0.5000 0.5000 0.5000 Hg



# 7
MgIn2Hg GGA-PBE relaxed; ΔE_f = -0.059 eV/atom; E = -1.9018 eV per atom; space group = P2_1/m, No. 11
1.0
-3.7800 2.0420 -1.6464
-2.0343 -3.8768 -0.1379
-2.7650 1.1192 9.3261
Mg In Hg
2 4 2
Direct
0.9643 0.7500 0.6257 Mg
0.0357 0.2500 0.3743 Mg
0.5314 0.2500 0.1313 In
0.0360 0.7500 0.1328 In
0.4686 0.7500 0.8687 In
0.9640 0.2500 0.8672 In
0.5572 0.7500 0.3853 Hg
0.4428 0.2500 0.6147 Hg



# 8
Mg2In2Hg7 GGA-PBE relaxed; ΔE_f = -0.051 eV/atom; E = -1.0308 eV per atom; space group = Imm2, No. 44; relative energy among the computed polymorphs = 0.006 eV per atom
1.0
-2.2447 2.6732 -0.0427
-5.6241 -2.5729 -8.1202
-8.8222 -5.1313 -0.1662
Hg In Mg
7 2 2
Direct
0.8415 0.0581 0.2589 Hg
0.1476 0.1458 0.5590 Hg
0.8524 0.4410 0.8542 Hg
0.3682 0.7285 0.5352 Hg
0.6318 0.4648 0.2715 Hg
0.5000 0.0080 0.9920 Hg
0.1585 0.7411 0.9419 Hg
0.5000 0.3472 0.6528 In
0.0000 0.7038 0.2962 In
0.7390 0.8688 0.6532 Mg
0.2610 0.3468 0.1312 Mg



# 9
Mg2In3Hg GGA-PBE relaxed; ΔE_f = -0.039 eV/atom; E = -1.9899 eV per atom; space group = Pmm2, No. 25; relative energy among the computed polymorphs = 0.000 eV per atom
1.0
-0.1461 3.1857 -0.1001
-3.9474 -0.2508 -2.2198
-5.0162 0.0500 8.9146
In Mg Hg
3 2 1
Direct
0.5000 0.5000 0.6517 In
0.5000 0.0000 0.1631 In
0.5000 0.0000 0.8488 In
0.0000 0.0000 0.4827 Mg
0.0000 0.5000 0.0022 Mg
0.5000 0.5000 0.3515 Hg